Entry 1:
A relaxed Zr2Tl2In crystal, computed with PBE.

The structure in extended XYZ format:
```
10
Lattice="8.737 0.000 0.000 0.000 8.737 0.000 0.000 0.000 3.276" Properties=species:S:1:pos:R:3 pbc="T T T"
Tl 2.901 7.269 0.000
Tl 7.269 5.836 0.000
Tl 5.836 1.468 0.000
Tl 1.468 2.901 0.000
Zr 1.130 5.498 1.638
Zr 5.498 7.607 1.638
Zr 7.607 3.238 1.638
Zr 3.238 1.130 1.638
In 0.000 0.000 0.000
In 4.368 4.368 0.000
```

Values from the calculation:
DOS(E_F): 6.66 states/eV/cell
Energy above the lowest structure with this stoichiometry: 0.029 eV per atom
Symmetry: P4/mbm, No. 127

=====

Entry 2:
A relaxed ZrTl2In2 crystal, computed with PBE.

The structure in extended XYZ format:
```
10
Lattice="8.130 0.000 0.000 0.000 8.130 0.000 0.000 0.000 3.942" Properties=species:S:1:pos:R:3 pbc="T T T"
Tl 1.376 5.441 1.971
Tl 5.441 6.754 1.971
Tl 6.754 2.689 1.971
Tl 2.689 1.376 1.971
Zr 0.000 0.000 0.000
Zr 4.065 4.065 0.000
In 2.971 7.036 0.000
In 7.036 5.158 0.000
In 5.158 1.094 0.000
In 1.094 2.971 0.000
```

Values from the calculation:
DOS(E_F): 7.38 states/eV/cell
Energy above the lowest structure with this stoichiometry: 0.000 eV per atom
Symmetry: P4/mbm, No. 127

=====

Entry 3:
A relaxed ZrTl2In crystal, computed with PBE.

The structure in extended XYZ format:
```
4
Lattice="-2.149 1.222 -2.470 0.683 -3.654 -2.401 -4.993 -2.858 2.929" Properties=species:S:1:pos:R:3 pbc="T T T"
In -4.478 -3.359 -0.239
Tl -0.053 -0.031 0.031
Tl -2.443 -1.398 1.433
Zr -1.981 -1.930 -1.703
```

Values from the calculation:
DOS(E_F): 3.09 states/eV/cell
Energy above the lowest structure with this stoichiometry: 0.094 eV per atom
Symmetry: Pmmm, No. 47

=====

Entry 4:
A relaxed Zr5TlIn3 crystal, computed with PBE.

The structure in extended XYZ format:
```
18
Lattice="-2.143 1.406 -5.468 8.271 0.921 -3.005 -4.019 -7.870 -0.448" Properties=species:S:1:pos:R:3 pbc="T T T"
Zr 0.077 -4.940 -1.300
Zr 3.103 -1.307 -4.887
Zr 4.174 -2.009 -2.153
Zr -0.994 -4.237 -4.034
Zr 4.179 1.699 -6.203
Zr -0.330 -1.034 -5.139
Zr -4.419 -4.451 -4.415
Zr 1.949 0.628 -2.270
Zr 2.439 -4.510 -3.783
Zr -1.743 -2.013 -1.502
Tl 0.000 0.000 0.000
Tl -1.071 0.703 -2.734
In 1.450 1.395 -5.212
In 1.073 -3.326 -6.278
In -3.093 -1.854 -4.267
In 4.679 0.932 -3.261
In 1.036 -2.217 -2.643
In -3.070 -4.610 -1.650
```

Values from the calculation:
DOS(E_F): 18.67 states/eV/cell
Total DFT energy (no corrections): -110.69 eV per cell
Symmetry: P6_3/mcm, No. 193

=====

Entry 5:
A relaxed Zr5TlIn2 crystal, computed with PBE.

The structure in extended XYZ format:
```
16
Lattice="7.684 0.000 0.000 0.000 7.684 0.000 -3.842 -3.842 6.273" Properties=species:S:1:pos:R:3 pbc="T T T"
Zr 1.175 2.667 4.268
Zr 5.017 -1.175 2.005
Zr 0.000 0.000 0.000
Zr 3.842 3.842 0.000
Zr -1.175 5.017 4.268
Zr 2.667 -1.175 4.268
Zr 5.017 1.175 4.268
Zr 1.175 5.017 2.005
Zr -1.175 2.667 2.005
Zr 2.667 1.175 2.005
Tl 3.842 3.842 3.137
Tl 0.000 0.000 3.137
In 1.101 2.741 0.000
In 4.942 1.101 0.000
In 2.741 6.583 0.000
In 6.583 4.942 0.000
```

Values from the calculation:
DOS(E_F): 22.46 states/eV/cell
Total DFT energy (no corrections): -103.39 eV per cell
Symmetry: I4/mcm, No. 140

=====

Entry 6:
A relaxed Zr6Tl2In crystal, computed with PBE.

The structure in extended XYZ format:
```
9
Lattice="3.080 0.000 0.000 1.540 8.860 1.175 1.540 3.670 8.150" Properties=species:S:1:pos:R:3 pbc="T T T"
Zr 1.540 5.066 1.817
Zr 4.620 7.464 7.508
Zr 4.620 9.335 4.994
Zr 1.540 4.585 6.919
Zr 1.540 7.945 2.405
Zr 1.540 3.195 4.331
Tl 1.540 1.920 1.429
Tl 4.620 10.609 7.896
In 3.080 6.265 4.662
```

Values from the calculation:
DOS(E_F): 14.35 states/eV/cell
Total DFT energy (no corrections): -57.63 eV per cell
Symmetry: Immm, No. 71

=====

Entry 7:
A relaxed Zr3TlIn crystal, computed with PBE.

The structure in extended XYZ format:
```
5
Lattice="-2.374 -2.409 4.060 -1.335 -4.016 -3.163 4.528 -2.447 1.196" Properties=species:S:1:pos:R:3 pbc="T T T"
Tl 0.410 -4.436 1.046
Zr -0.667 -2.008 -1.582
Zr 2.264 -1.223 0.598
Zr -1.187 -1.204 2.030
In 0.000 0.000 0.000
```

Values from the calculation:
DOS(E_F): 6.08 states/eV/cell
Energy above the lowest structure with this stoichiometry: 0.868 eV per atom
Symmetry: Pm-3m, No. 221

=====

Entry 8:
A relaxed ZrTlIn4 crystal, computed with PBE.

The structure in extended XYZ format:
```
6
Lattice="-3.866 -2.146 4.041 -5.844 1.215 -0.505 -3.839 -4.335 -1.535" Properties=species:S:1:pos:R:3 pbc="T T T"
Zr 0.000 0.000 0.000
Tl -10.161 -3.949 1.500
In -7.014 -3.048 2.771
In -7.000 -4.143 -0.018
In -8.003 -1.366 0.497
In -5.080 -1.974 0.750
```

Values from the calculation:
DOS(E_F): 5.07 states/eV/cell
Total DFT energy (no corrections): -20.93 eV per cell
Symmetry: F-43m, No. 216